1.
Density functional theory data (GGA-PBE) for crystalline LaOsCl at its relaxed geometry.

Computed properties:
space group: P3m1
relative energy among the computed polymorphs: 390 kJ/mol of formula units
raw formation energy: 0.181 eV/atom
E_tot: -5.820 eV/atom

POSCAR file:
```
LaOsCl
1.0
3.5595 0.0000 0.0000
-1.7797 3.0826 0.0000
0.0000 0.0000 7.1785
Os La Cl
1 1 1
Cartesian
0.0000 2.0551 4.4580
1.7797 1.0275 2.4061
0.0000 0.0000 0.3144
```


2.
Density functional theory data (GGA-PBE) for crystalline SmY5Th4 at its relaxed geometry.

Computed properties:
space group: C2/m
E_tot: -6.566 eV/atom
formation enthalpy at 0 K: 10.3 kJ per mole of atoms

POSCAR file:
```
SmY5Th4
1.0
3.4306 0.0000 -0.6969
0.0827 11.6702 0.4074
-0.0971 2.6073 8.3145
Th Y Sm
4 5 1
Cartesian
0.3466 8.6824 1.7065
2.0466 2.9026 1.2825
1.3697 11.3749 6.7425
3.0697 5.5950 6.3186
0.7099 5.5945 3.4945
1.7567 5.8351 -0.1447
2.7064 8.6830 4.5305
2.7125 2.6080 4.5601
0.7038 11.6694 3.4649
1.7153 0.0000 -0.3484
```


3.
Density functional theory data (GGA-PBE) for crystalline YCdN2 at its relaxed geometry.

Computed properties:
space group: I-42d
raw formation energy: -0.147 eV/atom
E_tot: -6.155 eV/atom

POSCAR file:
```
YCdN2
1.0
5.0580 0.0000 0.0000
0.0000 5.0580 0.0000
2.5290 2.5290 5.5612
Cd Y N
2 2 4
Cartesian
0.0000 0.0000 0.0000
5.0580 2.5290 2.7806
2.5290 2.5290 0.0000
2.5290 5.0580 2.7806
3.7935 3.8094 4.1709
6.3225 6.3067 4.1709
1.2804 3.7935 1.3903
3.7777 1.2645 1.3903
```


4.
Density functional theory data (GGA-PBE) for crystalline Sc3GaCo at its relaxed geometry.

Computed properties:
space group: P6_3/mmc
relative energy among the computed polymorphs: 31 kJ/mol of formula units
E_tot: -6.145 eV/atom
formation enthalpy at 0 K: -30.9 kJ per mole of atoms

POSCAR file:
```
Sc3GaCo
1.0
-2.6233 3.3970 -2.2814
-4.8006 -0.4208 4.8936
5.1911 4.4490 0.6554
Ga Sc Co
2 6 2
Cartesian
1.2038 3.6745 1.4982
-3.4367 3.7507 1.7694
-0.7695 5.9150 1.9252
-3.6262 1.3205 3.5469
-0.9454 4.1005 -0.5744
-1.4634 1.5102 1.3424
1.3933 6.1047 -0.2793
-1.2875 3.3247 3.8420
-1.3117 1.6985 -1.1407
0.0000 0.0000 0.0000
```